YTlRu2 | PBE | optimized geometry

The structure in POSCAR format:
```
YTlRu2
1.0
-1.859 1.923 -1.399
-2.112 -2.772 -1.001
-3.895 0.734 6.182
Tl Ru Y
1 2 1
Direct
0.000 0.000 0.459 Tl
0.000 0.000 0.052 Ru
0.500 0.500 0.199 Ru
0.500 0.500 0.790 Y
```

Results
The space group is Pmm2. Its energy above the most stable polymorph in this dataset is 5.90 kJ per mole of atoms. The energy of formation is 0.51 eV/f.u. For the density, the calculation gives 10.24 g cm⁻³.